Crystalline TiCoI2N at its relaxed geometry, computed with PBE.

Summary:
ΔE_f (raw): 39.7 kJ/mol of atoms
Calculated total energy: -24.37 eV per cell
Distance to the lowest polymorph of the same formula: 0.000 eV/atom
V: 23.75 Å³ per atom

Unit cell a=5.641 b=5.641 c=3.731 alpha=90.00 beta=90.00 gamma=90.00
Fractional coordinates of all 5 atoms:
I (0.000, 0.500, 0.000)
I (0.500, 0.000, 0.000)
N (0.000, 0.000, 0.500)
Co (0.500, 0.500, 0.500)
Ti (0.000, 0.000, 0.000)



Crystalline SrTlCuBi2 at its relaxed geometry, computed with PBE.

Summary:
ΔH_f (0 K): 216 meV/atom
Calculated total energy: -14.83 eV per cell
V: 35.01 Å³ per atom

Unit cell a=5.970 b=4.912 c=5.970 alpha=90.00 beta=90.00 gamma=90.00
Fractional coordinates of all 5 atoms:
Sr (0.500, 0.500, 0.500)
Tl (0.000, 0.000, 0.000)
Bi (0.000, 0.000, 0.500)
Bi (0.500, 0.000, 0.000)
Cu (0.000, 0.500, 0.000)



Crystalline ScIn3Tc at its relaxed geometry, computed with PBE.

Summary:
ΔH_f (0 K): 1281 meV/atom
Calculated total energy: -18.51 eV per cell
Distance to the lowest polymorph of the same formula: 0.892 eV/atom
V: 31.81 Å³ per atom

Unit cell a=5.418 b=5.418 c=5.418 alpha=90.00 beta=90.00 gamma=90.00
Fractional coordinates of all 5 atoms:
Sc (0.000, 0.000, 0.000)
Tc (0.500, 0.500, 0.500)
In (0.000, 0.500, 0.000)
In (0.000, 0.000, 0.500)
In (0.500, 0.000, 0.000)



Crystalline YEr5Tm2 at its relaxed geometry, computed with PBE.

Summary:
ΔH_f (0 K): 23 meV/atom
Calculated total energy: -76.08 eV per cell
V: 30.50 Å³ per atom

Unit cell a=4.956 b=7.017 c=14.034 alpha=90.00 beta=90.00 gamma=90.00
Fractional coordinates of all 16 atoms:
Y (0.000, 0.000, 0.500)
Y (0.000, 0.500, 0.000)
Er (0.000, 0.000, 0.000)
Er (0.000, 0.500, 0.500)
Er (0.000, 0.499, 0.749)
Er (0.000, 0.501, 0.251)
Er (0.000, 0.001, 0.249)
Er (0.000, 0.999, 0.751)
Er (0.500, 0.249, 0.874)
Er (0.500, 0.751, 0.126)
Er (0.500, 0.251, 0.374)
Er (0.500, 0.749, 0.626)
Tm (0.500, 0.250, 0.625)
Tm (0.500, 0.750, 0.375)
Tm (0.500, 0.250, 0.125)
Tm (0.500, 0.750, 0.875)



Crystalline Dy2GeAu at its relaxed geometry, computed with PBE.

Summary:
ΔH_f (0 K): -721 meV/atom
Calculated total energy: -19.98 eV per cell
V: 25.92 Å³ per atom

Unit cell a=4.343 b=4.343 c=6.825 alpha=71.45 beta=71.45 gamma=60.00
Fractional coordinates of all 4 atoms:
Ge (0.000, 0.000, 0.000)
Au (0.500, 0.500, 0.500)
Dy (0.745, 0.745, 0.764)
Dy (0.255, 0.255, 0.236)



Crystalline LaU2NiN4 at its relaxed geometry, computed with PBE.

Summary:
ΔE_f (raw): -116.3 kJ/mol of atoms
Calculated total energy: -152.46 eV per cell
V: 14.17 Å³ per atom

Unit cell a=3.525 b=5.927 c=11.363 alpha=90.00 beta=90.00 gamma=107.30
Fractional coordinates of all 16 atoms:
La (0.102, 0.204, 0.750)
La (0.898, 0.796, 0.250)
U (0.371, 0.742, 0.558)
U (0.629, 0.258, 0.058)
U (0.629, 0.258, 0.442)
U (0.371, 0.742, 0.942)
Ni (0.834, 0.668, 0.750)
Ni (0.166, 0.332, 0.250)
N (0.263, 0.526, 0.106)
N (0.737, 0.474, 0.606)
N (0.737, 0.474, 0.894)
N (0.263, 0.526, 0.394)
N (0.000, 0.000, 0.500)
N (0.000, 0.000, 0.000)
N (0.437, 0.874, 0.750)
N (0.563, 0.126, 0.250)



Crystalline TaSiO6 at its relaxed geometry, computed with PBE.

Summary:
ΔE_f (raw): -179.6 kJ/mol of atoms
Calculated total energy: -61.92 eV per cell
V: 12.77 Å³ per atom

Unit cell a=5.247 b=5.247 c=5.247 alpha=60.00 beta=60.00 gamma=60.00
Fractional coordinates of all 8 atoms:
Ta (0.500, 0.500, 0.500)
Si (0.000, 0.000, 0.000)
O (0.766, 0.766, 0.234)
O (0.766, 0.234, 0.234)
O (0.234, 0.766, 0.766)
O (0.234, 0.234, 0.766)
O (0.234, 0.766, 0.234)
O (0.766, 0.234, 0.766)



Crystalline HgRhO at its relaxed geometry, computed with PBE.

Summary:
ΔE_f (raw): -8.9 kJ/mol of atoms
Calculated total energy: -12.89 eV per cell
Distance to the lowest polymorph of the same formula: 0.147 eV/atom
V: 15.88 Å³ per atom

Unit cell a=3.049 b=2.965 c=5.269 alpha=90.00 beta=90.00 gamma=90.00
Fractional coordinates of all 3 atoms:
Hg (0.500, 0.000, 0.993)
Rh (0.000, 0.500, 0.617)
O (0.000, 0.000, 0.369)



Crystalline Be2AgHI at its relaxed geometry, computed with PBE.

Summary:
Calculated total energy: -9.21 eV per cell
V: 23.55 Å³ per atom

Unit cell a=4.510 b=5.791 c=4.510 alpha=90.00 beta=90.00 gamma=90.00
Fractional coordinates of all 5 atoms:
I (0.000, 0.500, 0.000)
Be (0.000, 0.000, 0.500)
Be (0.500, 0.000, 0.000)
Ag (0.000, 0.000, 0.000)
H (0.500, 0.500, 0.500)



Crystalline GdTmNiHg at its relaxed geometry, computed with PBE.

Summary:
ΔH_f (0 K): -355 meV/atom
Calculated total energy: -26.06 eV per cell
V: 22.67 Å³ per atom

Unit cell a=5.043 b=5.043 c=5.043 alpha=60.00 beta=60.00 gamma=60.00
Fractional coordinates of all 4 atoms:
Gd (0.000, 0.000, 0.000)
Ni (0.750, 0.750, 0.750)
Tm (0.500, 0.500, 0.500)
Hg (0.250, 0.250, 0.250)



Crystalline MgGaS at its relaxed geometry, computed with PBE.

Summary:
ΔE_f (raw): -67.6 kJ/mol of atoms
Calculated total energy: -21.70 eV per cell
V: 22.88 Å³ per atom

Unit cell a=4.315 b=4.315 c=8.869 alpha=75.92 beta=75.92 gamma=60.00
Fractional coordinates of all 6 atoms:
Mg (0.617, 0.617, 0.150)
Mg (0.383, 0.383, 0.850)
S (0.279, 0.279, 0.162)
S (0.721, 0.721, 0.838)
Ga (0.831, 0.831, 0.508)
Ga (0.169, 0.169, 0.492)



Crystalline Np2Co12B7 at its relaxed geometry, computed with PBE.

Summary:
ΔH_f (0 K): -266 meV/atom
Calculated total energy: -163.48 eV per cell
V: 9.89 Å³ per atom

Unit cell a=3.340 b=8.475 c=8.475 alpha=120.00 beta=90.00 gamma=90.00
Fractional coordinates of all 21 atoms:
Np (0.500, 0.000, 0.000)
Np (0.000, 0.667, 0.333)
Co (0.500, 0.893, 0.609)
Co (0.500, 0.716, 0.107)
Co (0.500, 0.391, 0.284)
Co (0.500, 0.231, 0.786)
Co (0.500, 0.555, 0.769)
Co (0.500, 0.214, 0.445)
Co (0.000, 0.061, 0.544)
Co (0.000, 0.483, 0.939)
Co (0.000, 0.456, 0.517)
Co (0.000, 0.772, 0.735)
Co (0.000, 0.963, 0.228)
Co (0.000, 0.265, 0.037)
B (0.000, 0.333, 0.667)
B (0.000, 0.041, 0.768)
B (0.000, 0.727, 0.959)
B (0.000, 0.232, 0.273)
B (0.500, 0.622, 0.568)
B (0.500, 0.946, 0.378)
B (0.500, 0.432, 0.054)



Crystalline Sr2ScNi at its relaxed geometry, computed with PBE.

Summary:
ΔH_f (0 K): 209 meV/atom
Calculated total energy: -29.28 eV per cell
Distance to the lowest polymorph of the same formula: 0.185 eV/atom
V: 38.39 Å³ per atom

Unit cell a=11.342 b=11.342 c=8.368 alpha=47.33 beta=47.33 gamma=90.00
Fractional coordinates of all 8 atoms:
Sc (0.500, 0.500, 0.000)
Sc (0.250, 0.750, 0.500)
Sr (0.786, 0.125, 0.250)
Sr (0.964, 0.625, 0.250)
Sr (0.375, 0.214, 0.750)
Sr (0.875, 0.036, 0.750)
Ni (0.000, 0.000, 0.000)
Ni (0.750, 0.250, 0.500)



Crystalline Hg2Se at its relaxed geometry, computed with PBE.

Summary:
ΔE_f (raw): -3.8 kJ/mol of atoms
Calculated total energy: -4.20 eV per cell
Distance to the lowest polymorph of the same formula: 0.053 eV/atom
V: 30.09 Å³ per atom

Unit cell a=4.189 b=4.189 c=5.942 alpha=90.00 beta=90.00 gamma=120.00
Fractional coordinates of all 3 atoms:
Hg (0.000, 0.000, 0.773)
Hg (0.000, 0.000, 0.227)
Se (0.333, 0.667, 0.500)



Crystalline Rb3NpAg2S6 at its relaxed geometry, computed with PBE.

Summary:
ΔE_f (raw): -72.4 kJ/mol of atoms
Calculated total energy: -55.31 eV per cell
V: 35.62 Å³ per atom

Unit cell a=7.608 b=7.608 c=8.527 alpha=90.00 beta=90.00 gamma=120.00
Fractional coordinates of all 12 atoms:
Rb (0.333, 0.667, 0.681)
Rb (0.667, 0.333, 0.319)
Rb (0.000, 0.000, 0.000)
Np (0.000, 0.000, 0.500)
Ag (0.667, 0.333, 0.709)
Ag (0.333, 0.667, 0.291)
S (0.697, 0.849, 0.315)
S (0.151, 0.303, 0.315)
S (0.151, 0.849, 0.315)
S (0.849, 0.697, 0.685)
S (0.303, 0.151, 0.685)
S (0.849, 0.151, 0.685)



Crystalline TaBe2Re at its relaxed geometry, computed with PBE.

Summary:
ΔH_f (0 K): -13 meV/atom
Calculated total energy: -31.81 eV per cell
Distance to the lowest polymorph of the same formula: 0.369 eV/atom
V: 12.68 Å³ per atom

Unit cell a=4.463 b=4.463 c=4.463 alpha=134.88 beta=124.42 gamma=74.29
Fractional coordinates of all 4 atoms:
Re (0.750, 0.250, 0.500)
Be (0.995, 0.995, 0.000)
Be (0.505, 0.505, 0.000)
Ta (0.250, 0.750, 0.500)



Crystalline YLu2In at its relaxed geometry, computed with PBE.

Summary:
ΔH_f (0 K): -255 meV/atom
Calculated total energy: -19.26 eV per cell
Distance to the lowest polymorph of the same formula: 0.000 eV/atom
V: 27.45 Å³ per atom

Unit cell a=4.802 b=4.781 c=4.781 alpha=90.00 beta=90.00 gamma=90.00
Fractional coordinates of all 4 atoms:
Y (0.500, 0.000, 0.000)
Lu (0.000, 0.000, 0.500)
Lu (0.000, 0.500, 0.000)
In (0.500, 0.500, 0.500)



Crystalline SmHo3Tm2Sb6 at its relaxed geometry, computed with PBE.

Summary:
ΔE_f (raw): -106.7 kJ/mol of atoms
Calculated total energy: -65.40 eV per cell
V: 29.61 Å³ per atom

Unit cell a=4.375 b=8.750 c=9.782 alpha=102.89 beta=102.92 gamma=90.00
Fractional coordinates of all 12 atoms:
Sm (0.500, 0.000, 0.000)
Ho (0.500, 0.500, 0.000)
Ho (0.834, 0.168, 0.669)
Ho (0.166, 0.832, 0.331)
Tm (0.833, 0.666, 0.665)
Tm (0.167, 0.334, 0.335)
Sb (0.331, 0.914, 0.662)
Sb (0.667, 0.582, 0.334)
Sb (0.669, 0.086, 0.338)
Sb (0.001, 0.255, 0.002)
Sb (0.999, 0.745, 0.998)
Sb (0.333, 0.418, 0.666)



Crystalline KMnNi at its relaxed geometry, computed with PBE.

Summary:
ΔH_f (0 K): 465 meV/atom
Calculated total energy: -29.31 eV per cell
Distance to the lowest polymorph of the same formula: 0.103 eV/atom
V: 33.61 Å³ per atom

Unit cell a=9.660 b=4.836 c=4.835 alpha=63.76 beta=94.63 gamma=94.70
Fractional coordinates of all 6 atoms:
Ni (0.164, 0.609, 0.965)
Ni (0.211, 0.114, 0.470)
K (0.897, 0.080, 0.437)
K (0.478, 0.647, 0.001)
Mn (0.188, 0.612, 0.468)
Mn (0.188, 0.112, 0.968)



Crystalline TbSmMg2Hg4 at its relaxed geometry, computed with PBE.

Summary:
ΔH_f (0 K): -469 meV/atom
Calculated total energy: -17.50 eV per cell
V: 23.61 Å³ per atom

Unit cell a=5.106 b=5.106 c=8.869 alpha=73.27 beta=73.27 gamma=60.00
Fractional coordinates of all 8 atoms:
Tb (0.500, 0.500, 0.500)
Sm (0.000, 0.000, 0.000)
Mg (0.750, 0.750, 0.749)
Mg (0.250, 0.250, 0.251)
Hg (0.377, 0.377, 0.870)
Hg (0.874, 0.874, 0.378)
Hg (0.126, 0.126, 0.622)
Hg (0.623, 0.623, 0.130)



Crystalline Rb2Ag2Pd at its relaxed geometry, computed with PBE.

Summary:
ΔH_f (0 K): -1 meV/atom
Calculated total energy: -12.84 eV per cell
Distance to the lowest polymorph of the same formula: 0.000 eV/atom
V: 40.45 Å³ per atom

Unit cell a=4.748 b=4.748 c=10.718 alpha=77.20 beta=77.20 gamma=60.00
Fractional coordinates of all 5 atoms:
Rb (0.426, 0.426, 0.723)
Rb (0.574, 0.574, 0.277)
Ag (0.679, 0.679, 0.962)
Ag (0.321, 0.321, 0.038)
Pd (0.000, 0.000, 0.000)



Crystalline Cs4Cd3 at its relaxed geometry, computed with PBE.

Summary:
ΔH_f (0 K): -18 meV/atom
Calculated total energy: -18.86 eV per cell
V: 59.93 Å³ per atom

Unit cell a=5.931 b=15.654 c=15.654 alpha=120.00 beta=90.00 gamma=90.00
Fractional coordinates of all 21 atoms:
Cs (0.756, 0.769, 0.018)
Cs (0.756, 0.982, 0.751)
Cs (0.756, 0.249, 0.231)
Cs (0.244, 0.231, 0.982)
Cs (0.244, 0.018, 0.249)
Cs (0.244, 0.751, 0.769)
Cs (0.751, 0.616, 0.483)
Cs (0.751, 0.517, 0.133)
Cs (0.751, 0.867, 0.384)
Cs (0.249, 0.384, 0.517)
Cs (0.249, 0.483, 0.867)
Cs (0.249, 0.133, 0.616)
Cd (0.749, 0.333, 0.667)
Cd (0.251, 0.667, 0.333)
Cd (0.746, 0.277, 0.826)
Cd (0.746, 0.174, 0.451)
Cd (0.746, 0.549, 0.723)
Cd (0.254, 0.723, 0.174)
Cd (0.254, 0.826, 0.549)
Cd (0.254, 0.451, 0.277)
Cd (0.500, 0.000, 0.000)



Crystalline Dy2CuSn at its relaxed geometry, computed with PBE.

Summary:
ΔH_f (0 K): -488 meV/atom
Calculated total energy: -38.51 eV per cell
V: 24.84 Å³ per atom

Unit cell a=4.363 b=6.096 c=8.170 alpha=113.84 beta=90.00 gamma=90.00
Fractional coordinates of all 8 atoms:
Dy (0.750, 0.242, 0.441)
Dy (0.250, 0.758, 0.559)
Dy (0.750, 0.693, 0.909)
Dy (0.250, 0.307, 0.091)
Cu (0.750, 0.645, 0.291)
Cu (0.250, 0.355, 0.709)
Sn (0.750, 0.125, 0.788)
Sn (0.250, 0.875, 0.212)



Crystalline BaPRu2 at its relaxed geometry, computed with PBE.

Summary:
ΔH_f (0 K): 820 meV/atom
Calculated total energy: -22.60 eV per cell
V: 18.79 Å³ per atom

Unit cell a=5.460 b=5.460 c=3.105 alpha=74.20 beta=74.20 gamma=111.74
Fractional coordinates of all 4 atoms:
Ba (0.500, 0.500, 0.000)
P (0.000, 0.000, 0.000)
Ru (0.000, 0.500, 0.000)
Ru (0.500, 0.000, 0.000)



Crystalline BaPrTlIn at its relaxed geometry, computed with PBE.

Summary:
ΔH_f (0 K): -318 meV/atom
Calculated total energy: -13.08 eV per cell
V: 34.50 Å³ per atom

Unit cell a=5.801 b=5.801 c=5.801 alpha=60.00 beta=60.00 gamma=60.00
Fractional coordinates of all 4 atoms:
Pr (0.750, 0.750, 0.750)
Tl (0.000, 0.000, 0.000)
Ba (0.250, 0.250, 0.250)
In (0.500, 0.500, 0.500)